No. 1
TcMo at its PBEsol-relaxed geometry. Source: Alexandria via LeMat-Bulk, functional SCAN.

Structure (POSCAR):
```
TcMo
1.0
2.6982 0.0000 0.0025
0.0000 4.3359 0.0000
-0.9786 0.0000 5.0210
Mo Tc
2 2
Cartesian
0.7911 3.2520 4.3762 Mo
0.9285 1.0840 0.6473 Mo
1.6652 1.0840 3.1573 Tc
0.0543 3.2520 1.8663 Tc
```

N(E_F): 0.955 states/eV/atom
ΔE to the lowest computed polymorph: 22 meV per atom
Volume: 58.8 Å³/cell
Formation energy: 0.06 eV per atom
SG: P2_1/m
VASP energy: -139.63 eV/cell

No. 2
AlCrAs at its PBEsol-relaxed geometry. Source: Alexandria via LeMat-Bulk, functional SCAN.

Structure (POSCAR):
```
AlCrAs
1.0
-1.1310 -2.4454 1.6266
0.5953 -1.8978 -2.4391
3.9550 1.4424 1.8736
Cr As Al
1 1 1
Cartesian
1.0377 -2.4298 0.1133 Cr
2.3622 -0.4672 0.9400 As
0.0193 -0.0038 0.0077 Al
```

N(E_F): 0.012 states/eV/atom
ΔE to the lowest computed polymorph: 0 meV per atom
Volume: 40.0 Å³/cell
Formation energy: -0.20 eV per atom
SG: I4mm
VASP energy: -46.91 eV/cell

No. 3
FeCu2Te at its PBEsol-relaxed geometry. Source: Alexandria via LeMat-Bulk, functional SCAN.

Structure (POSCAR):
```
FeCu2Te
1.0
3.7742 0.0000 0.0000
0.0000 3.7742 0.0000
0.0000 0.0000 3.9315
Cu Fe Te
2 1 1
Cartesian
0.0000 1.8871 0.0000 Cu
1.8871 0.0000 0.0000 Cu
1.8871 1.8871 1.9657 Fe
0.0000 0.0000 1.9657 Te
```

N(E_F): 0.666 states/eV/atom
Volume: 56.0 Å³/cell
SG: P4/mmm
VASP energy: -84.71 eV/cell
Raw formation energy: 0.266 eV per atom

No. 4
AsWSN2 at its PBEsol-relaxed geometry. Source: Alexandria via LeMat-Bulk, functional SCAN.

Structure (POSCAR):
```
AsWSN2
1.0
3.7313 0.0000 0.0000
0.0000 3.7313 0.0000
0.0000 0.0000 4.5146
As S W N
1 1 1 2
Cartesian
0.0000 0.0000 0.0000 As
0.0000 0.0000 2.2573 S
1.8656 1.8656 2.2573 W
0.0000 1.8656 0.0000 N
1.8656 0.0000 0.0000 N
```

N(E_F): 0.483 states/eV/atom
Volume: 62.9 Å³/cell
SG: P4/mmm
VASP energy: -109.49 eV/cell
Raw formation energy: 1.720 eV per atom

No. 5
CaAl4In at its PBEsol-relaxed geometry. Source: Alexandria via LeMat-Bulk, functional SCAN.

Structure (POSCAR):
```
CaAl4In
1.0
5.5716 0.0000 0.0000
2.7858 4.8251 0.0000
2.7858 1.6084 4.5492
Ca Al In
1 4 1
Cartesian
8.3574 4.8251 3.4119 Ca
6.9655 2.4120 1.7055 Al
4.1777 2.4120 1.7055 Al
5.5716 3.2167 3.9818 Al
5.5716 4.8263 1.7055 Al
0.0000 0.0000 0.0000 In
```

N(E_F): 0.481 states/eV/atom
Volume: 122.3 Å³/cell
Formation energy: -0.10 eV per atom
SG: F-43m
VASP energy: -74.65 eV/cell

No. 6
BaLa3Rh at its PBEsol-relaxed geometry. Source: Alexandria via LeMat-Bulk, functional SCAN.

Structure (POSCAR):
```
BaLa3Rh
1.0
-1.6066 -4.9797 2.1901
4.6129 -0.0366 3.3007
-2.8835 2.7160 4.0600
Rh Ba La
1 1 3
Cartesian
0.0614 -1.1502 4.7754 Rh
0.0000 0.0000 0.0000 Ba
2.3065 -0.0183 1.6504 La
-1.4418 1.3580 2.0300 La
-0.8033 -2.4898 1.0951 La
```

N(E_F): 1.244 states/eV/atom
Volume: 182.5 Å³/cell
Formation energy: 1.28 eV per atom
SG: Pm-3m
VASP energy: -196.22 eV/cell

Number 1: spin magnetization 0.00 Bohr magnetons per cell. Number 2: spin magnetization 0.00 Bohr magnetons per cell. Number 3: spin magnetization 2.61 Bohr magnetons per cell. Number 4: spin magnetization 2.05 Bohr magnetons per cell. Number 5: spin magnetization 0.32 Bohr magnetons per cell. Number 6: spin magnetization 0.00 Bohr magnetons per cell.